[1]
# Mo2RhPb SCAN single point on PBEsol structure
# DFT formation energy (eV/atom): 0.518
data_Mo2RhPb
_chemical_formula_sum 'Mo4 Rh2 Pb2'
_cell_length_a 5.2004
_cell_length_b 8.7829
_cell_length_c 2.9043
_cell_angle_alpha 90.00
_cell_angle_beta 90.00
_cell_angle_gamma 90.00
_symmetry_space_group_name_H-M 'C m m m'
_symmetry_Int_Tables_number 65
_symmetry_space_group_name_Hall '-C 2 2'
loop_
_atom_site_label
_atom_site_type_symbol
_atom_site_fract_x
_atom_site_fract_y
_atom_site_fract_z
Mo1 Mo 0.2500 0.2500 0.0000
Rh1 Rh 0.0000 0.0000 0.5000
Pb1 Pb 0.0000 0.5000 0.5000


[2]
# MoRh2Pb SCAN single point on PBEsol structure
# DFT formation energy (eV/atom): 0.271
data_MoRh2Pb
_chemical_formula_sum 'Mo3 Rh6 Pb3'
_cell_length_a 2.9294
_cell_length_b 2.9294
_cell_length_c 26.8124
_cell_angle_alpha 90.00
_cell_angle_beta 90.00
_cell_angle_gamma 120.00
_symmetry_space_group_name_H-M 'R -3 m'
_symmetry_Int_Tables_number 166
_symmetry_space_group_name_Hall '-R 3 2"'
loop_
_atom_site_label
_atom_site_type_symbol
_atom_site_fract_x
_atom_site_fract_y
_atom_site_fract_z
Mo1 Mo 0.0000 0.0000 0.0000
Rh1 Rh 0.0000 0.0000 0.2571
Pb1 Pb 0.0000 0.0000 0.5000


[3]
# Mo2RhPb SCAN single point on PBEsol structure
# DFT formation energy (eV/atom): 0.385
data_Mo2RhPb
_chemical_formula_sum 'Mo4 Rh2 Pb2'
_cell_length_a 3.8778
_cell_length_b 4.1828
_cell_length_c 8.1332
_cell_angle_alpha 90.00
_cell_angle_beta 90.00
_cell_angle_gamma 90.00
_symmetry_space_group_name_H-M 'I m m 2'
_symmetry_Int_Tables_number 44
loop_
_symmetry_equiv_pos_as_xyz
'x,y,z'
'-x,-y,z'
'-x,y,z'
'x,-y,z'
'x+1/2,y+1/2,z+1/2'
'-x+1/2,-y+1/2,z+1/2'
'-x+1/2,y+1/2,z+1/2'
'x+1/2,-y+1/2,z+1/2'
loop_
_atom_site_label
_atom_site_type_symbol
_atom_site_fract_x
_atom_site_fract_y
_atom_site_fract_z
Mo1 Mo 0.0000 0.0000 0.0000
Mo2 Mo 0.0000 0.5000 0.2805
Rh1 Rh 0.0000 0.0000 0.5117
Pb1 Pb 0.0000 0.5000 0.7578


[4]
# Mo2RhPb SCAN single point on PBEsol structure
# DFT formation energy (eV/atom): 0.405
data_Mo2RhPb
_chemical_formula_sum 'Mo6 Rh3 Pb3'
_cell_length_a 3.0963
_cell_length_b 3.0963
_cell_length_c 25.5541
_cell_angle_alpha 90.00
_cell_angle_beta 90.00
_cell_angle_gamma 120.00
_symmetry_space_group_name_H-M 'R 3 m'
_symmetry_Int_Tables_number 160
_symmetry_space_group_name_Hall 'R 3 -2"'
loop_
_atom_site_label
_atom_site_type_symbol
_atom_site_fract_x
_atom_site_fract_y
_atom_site_fract_z
Mo1 Mo 0.0000 0.0000 0.0000
Mo2 Mo 0.0000 0.0000 0.2639
Rh1 Rh 0.0000 0.0000 0.5215
Pb1 Pb 0.0000 0.0000 0.7657


[5]
# Mo2RuPb SCAN single point on PBEsol structure
# DFT formation energy (eV/atom): 0.576
data_Mo2RuPb
_chemical_formula_sum 'Mo2 Ru1 Pb1'
_cell_length_a 3.7997
_cell_length_b 3.7997
_cell_length_c 4.5366
_cell_angle_alpha 90.00
_cell_angle_beta 90.00
_cell_angle_gamma 90.00
_symmetry_space_group_name_H-M 'P 4/m m m'
_symmetry_Int_Tables_number 123
_symmetry_space_group_name_Hall '-P 4 2'
loop_
_atom_site_label
_atom_site_type_symbol
_atom_site_fract_x
_atom_site_fract_y
_atom_site_fract_z
Mo1 Mo 0.0000 0.5000 0.0000
Ru1 Ru 0.0000 0.0000 0.5000
Pb1 Pb 0.5000 0.5000 0.5000


[6]
# Mo2RuPb SCAN single point on PBEsol structure
# DFT formation energy (eV/atom): 0.559
data_Mo2RuPb
_chemical_formula_sum 'Mo4 Ru2 Pb2'
_cell_length_a 3.5542
_cell_length_b 4.2655
_cell_length_c 8.6510
_cell_angle_alpha 90.00
_cell_angle_beta 90.00
_cell_angle_gamma 90.00
_symmetry_space_group_name_H-M 'I m m 2'
_symmetry_Int_Tables_number 44
loop_
_symmetry_equiv_pos_as_xyz
'x,y,z'
'-x,-y,z'
'-x,y,z'
'x,-y,z'
'x+1/2,y+1/2,z+1/2'
'-x+1/2,-y+1/2,z+1/2'
'-x+1/2,y+1/2,z+1/2'
'x+1/2,-y+1/2,z+1/2'
loop_
_atom_site_label
_atom_site_type_symbol
_atom_site_fract_x
_atom_site_fract_y
_atom_site_fract_z
Mo1 Mo 0.0000 0.0000 0.0000
Mo2 Mo 0.0000 0.5000 0.2674
Ru1 Ru 0.0000 0.5000 0.7572
Pb1 Pb 0.0000 0.0000 0.5080


[7]
# MoRu2Pb SCAN single point on PBEsol structure
# DFT formation energy (eV/atom): 0.644
data_MoRu2Pb
_chemical_formula_sum 'Mo4 Ru8 Pb4'
_cell_length_a 6.3524
_cell_length_b 6.3524
_cell_length_c 6.3524
_cell_angle_alpha 90.00
_cell_angle_beta 90.00
_cell_angle_gamma 90.00
_symmetry_space_group_name_H-M 'F -4 3 m'
_symmetry_Int_Tables_number 216
_symmetry_space_group_name_Hall 'F -4 2 3'
loop_
_atom_site_label
_atom_site_type_symbol
_atom_site_fract_x
_atom_site_fract_y
_atom_site_fract_z
Mo1 Mo 0.0000 0.0000 0.0000
Ru1 Ru 0.0000 0.0000 0.5000
Ru2 Ru 0.2500 0.2500 0.7500
Pb1 Pb 0.2500 0.2500 0.2500


[8]
# MoRu2Pb SCAN single point on PBEsol structure
# DFT formation energy (eV/atom): 0.531
data_MoRu2Pb
_chemical_formula_sum 'Mo1 Ru2 Pb1'
_cell_length_a 2.9044
_cell_length_b 4.0692
_cell_length_c 5.4687
_cell_angle_alpha 90.00
_cell_angle_beta 90.02
_cell_angle_gamma 90.00
_symmetry_space_group_name_H-M 'P 1 m 1'
_symmetry_Int_Tables_number 6
loop_
_symmetry_equiv_pos_as_xyz
'x,y,z'
'x,-y,z'
loop_
_atom_site_label
_atom_site_type_symbol
_atom_site_fract_x
_atom_site_fract_y
_atom_site_fract_z
Mo1 Mo 0.0000 0.0000 0.0000
Ru1 Ru 0.0011 0.0000 0.5569
Ru2 Ru 0.5019 0.5000 0.8113
Pb1 Pb 0.5007 0.5000 0.3094


[9]
# Mo2RuPb SCAN single point on PBEsol structure
# DFT formation energy (eV/atom): 0.535
data_Mo2RuPb
_chemical_formula_sum 'Mo4 Ru2 Pb2'
_cell_length_a 9.2607
_cell_length_b 3.0650
_cell_length_c 4.9219
_cell_angle_alpha 90.00
_cell_angle_beta 105.22
_cell_angle_gamma 90.00
_symmetry_space_group_name_H-M 'C 1 m 1'
_symmetry_Int_Tables_number 8
loop_
_symmetry_equiv_pos_as_xyz
'x,y,z'
'x,-y,z'
'x+1/2,y+1/2,z'
'x+1/2,-y+1/2,z'
loop_
_atom_site_label
_atom_site_type_symbol
_atom_site_fract_x
_atom_site_fract_y
_atom_site_fract_z
Mo1 Mo 0.0000 0.0000 0.0000
Mo2 Mo 0.2288 0.5000 0.2184
Ru1 Ru 0.4644 0.0000 0.4129
Pb1 Pb 0.2295 0.0000 0.7127


[10]
# MoRuPb2 SCAN single point on PBEsol structure
# DFT formation energy (eV/atom): 0.501
# Distance to the lowest polymorph of the same formula (meV per atom): 0
data_MoRuPb2
_chemical_formula_sum 'Mo3 Ru3 Pb6'
_cell_length_a 3.0636
_cell_length_b 3.0636
_cell_length_c 30.8344
_cell_angle_alpha 90.00
_cell_angle_beta 90.00
_cell_angle_gamma 120.00
_symmetry_space_group_name_H-M 'R 3 m'
_symmetry_Int_Tables_number 160
_symmetry_space_group_name_Hall 'R 3 -2"'
loop_
_atom_site_label
_atom_site_type_symbol
_atom_site_fract_x
_atom_site_fract_y
_atom_site_fract_z
Mo1 Mo 0.0000 0.0000 0.0000
Ru1 Ru 0.0000 0.0000 0.2733
Pb1 Pb 0.0000 0.0000 0.5281
Pb2 Pb 0.0000 0.0000 0.7483


[11]
# MoRu2Pb SCAN single point on PBEsol structure
# DFT formation energy (eV/atom): 0.507
data_MoRu2Pb
_chemical_formula_sum 'Mo3 Ru6 Pb3'
_cell_length_a 2.9501
_cell_length_b 2.9501
_cell_length_c 26.3982
_cell_angle_alpha 90.00
_cell_angle_beta 90.00
_cell_angle_gamma 120.00
_symmetry_space_group_name_H-M 'R -3 m'
_symmetry_Int_Tables_number 166
_symmetry_space_group_name_Hall '-R 3 2"'
loop_
_atom_site_label
_atom_site_type_symbol
_atom_site_fract_x
_atom_site_fract_y
_atom_site_fract_z
Mo1 Mo 0.0000 0.0000 0.0000
Ru1 Ru 0.0000 0.0000 0.2584
Pb1 Pb 0.0000 0.0000 0.5000


[12]
# MoRuPb2 SCAN single point on PBEsol structure
# DFT formation energy (eV/atom): 0.871
# Distance to the lowest polymorph of the same formula (meV per atom): 370
data_MoRuPb2
_chemical_formula_sum 'Mo2 Ru2 Pb4'
_cell_length_a 6.3050
_cell_length_b 8.8339
_cell_length_c 3.0808
_cell_angle_alpha 90.00
_cell_angle_beta 115.88
_cell_angle_gamma 90.00
_symmetry_space_group_name_H-M 'C 1 2/m 1'
_symmetry_Int_Tables_number 12
loop_
_symmetry_equiv_pos_as_xyz
'x,y,z'
'-x,-y,-z'
'-x,y,-z'
'x,-y,z'
'x+1/2,y+1/2,z'
'-x+1/2,-y+1/2,-z'
'-x+1/2,y+1/2,-z'
'x+1/2,-y+1/2,z'
loop_
_atom_site_label
_atom_site_type_symbol
_atom_site_fract_x
_atom_site_fract_y
_atom_site_fract_z
Mo1 Mo 0.0000 0.0000 0.0000
Ru1 Ru 0.0000 0.5000 0.0000
Pb1 Pb 0.2500 0.2500 0.5000


Question: Which value of DFT formation energy does entry 11 give?
Answer: 0.507 eV/atom


What did the first record say?
# Mo2RhPb SCAN single point on PBEsol structure
# DFT formation energy (eV/atom): 0.518
data_Mo2RhPb
_chemical_formula_sum 'Mo4 Rh2 Pb2'
_cell_length_a 5.2004
_cell_length_b 8.7829
_cell_length_c 2.9043
_cell_angle_alpha 90.00
_cell_angle_beta 90.00
_cell_angle_gamma 90.00
_symmetry_space_group_name_H-M 'C m m m'
_symmetry_Int_Tables_number 65
_symmetry_space_group_name_Hall '-C 2 2'
loop_
_atom_site_label
_atom_site_type_symbol
_atom_site_fract_x
_atom_site_fract_y
_atom_site_fract_z
Mo1 Mo 0.2500 0.2500 0.0000
Rh1 Rh 0.0000 0.0000 0.5000
Pb1 Pb 0.0000 0.5000 0.5000


Question: What is the formula in the twelfth record?
Answer: MoRuPb2


Question: Which of these has the highest DFT formation energy?
Answer: number 12